Entry 1:
# OsRu2C2 PBE optimized geometry
data_OsRu2C2
_chemical_formula_sum 'Os1 Ru2 C2'
_cell_length_a 3.7681
_cell_length_b 3.7681
_cell_length_c 4.6968
_cell_angle_alpha 66.35
_cell_angle_beta 66.35
_cell_angle_gamma 90.00
_symmetry_space_group_name_H-M 'P 1'
_symmetry_Int_Tables_number 1
loop_
_symmetry_equiv_pos_as_xyz
'x,y,z'
loop_
_atom_site_label
_atom_site_type_symbol
_atom_site_fract_x
_atom_site_fract_y
_atom_site_fract_z
Ru1 Ru 0.7500 0.2500 0.5000
Ru2 Ru 0.2500 0.7500 0.5000
C1 C 0.4031 0.4031 0.1938
C2 C 0.5969 0.5969 0.8062
Os1 Os 0.0000 0.0000 0.0000
# **Total DFT energy (no corrections)**: -8.67 eV per atom
# **ΔE_f**: 0.98 eV/atom
# **E above lowest polymorph**: 0.00 eV per formula unit
# **Volume**: 10.98 Å³ per atom

---

Entry 2:
# Os2RuC PBE optimized geometry
data_Os2RuC
_chemical_formula_sum 'Os4 Ru2 C2'
_cell_length_a 5.0997
_cell_length_b 5.0997
_cell_length_c 6.0705
_cell_angle_alpha 65.16
_cell_angle_beta 65.16
_cell_angle_gamma 90.00
_symmetry_space_group_name_H-M 'P 1'
_symmetry_Int_Tables_number 1
loop_
_symmetry_equiv_pos_as_xyz
'x,y,z'
loop_
_atom_site_label
_atom_site_type_symbol
_atom_site_fract_x
_atom_site_fract_y
_atom_site_fract_z
Ru1 Ru 0.0000 0.0000 0.0000
Ru2 Ru 0.7500 0.2500 0.5000
C1 C 0.5000 0.5000 0.0000
C2 C 0.2500 0.7500 0.5000
Os1 Os 0.5555 0.1250 0.2500
Os2 Os 0.1945 0.6250 0.2500
Os3 Os 0.3750 0.4445 0.7500
Os4 Os 0.8750 0.8055 0.7500
# **Total DFT energy (no corrections)**: -9.27 eV per atom
# **ΔE_f**: 0.97 eV/atom
# **Volume**: 15.88 Å³ per atom